# MnBO3

A relaxed MnBO3 crystal (PBE with a Hubbard U, the Alexandria database).

Cell: 3.9938 7.7546 7.7546 Å, 115.11 84.58 84.58°
Element x y z (fractional)
Mn 0.7510 0.5780 0.9026
Mn 0.7490 0.0974 0.4220
Mn 0.2490 0.4220 0.0974
Mn 0.2510 0.9026 0.5780
B 0.2500 0.9959 0.0041
B 0.7500 0.0041 0.9959
B 0.2500 0.2990 0.7010
B 0.7500 0.7010 0.2990
O 0.5467 0.8469 0.9583
O 0.9533 0.0417 0.1531
O 0.4533 0.1531 0.0417
O 0.0467 0.9583 0.8469
O 0.9912 0.3332 0.8722
O 0.5088 0.1278 0.6668
O 0.0088 0.6668 0.1278
O 0.4912 0.8722 0.3332
O 0.4021 0.4752 0.7534
O 0.0979 0.2466 0.5248
O 0.5979 0.5248 0.2466
O 0.9021 0.7534 0.4752

**SG**: No. 15
**Final energy**: -0.5555 Ry per atom
**ρ**: 3.5 g/cm3